Run one
DFT (PBE) results for a relaxed structure of UTaIn.

## Properties
Calculated density: 11086 kg/m³
Calculated volume: 80.0 Å³/cell

Lattice parameters (Å, degrees): 4.8356 4.8356 4.8356 60.00 60.00 60.00
Closest atoms and distances in Å follow each position.
Positions (direct):
Ta: 0.7500 0.7500 0.7500  4 U 2.96
In: 0.2500 0.2500 0.2500  4 U 2.96
U: 0.0000 0.0000 0.0000  4 In 2.96, 4 Ta 2.96

***

Run two
DFT (PBE) results for a relaxed structure of UTaIn.

## Properties
Calculated density: 11296 kg/m³
Calculated volume: 78.5 Å³/cell

Lattice parameters (Å, degrees): 4.8055 4.8055 4.8055 60.00 60.00 60.00
Closest atoms and distances in Å follow each position.
Positions (direct):
U: 0.7500 0.7500 0.7500  4 In 2.94
In: 0.0000 0.0000 0.0000  4 U 2.94, 4 Ta 2.94
Ta: 0.2500 0.2500 0.2500  4 In 2.94

***

It turns out run two is the most stable, with the second structure 24.4 kJ/mol of atoms higher.

***

Run one
DFT (PBE) results for a relaxed structure of TbZnInTe3.

## Properties
Calculated density: 5956 kg/m³
Calculated volume: 402.5 Å³/cell

Lattice parameters (Å, degrees): 8.7703 4.3480 11.1246 90.00 108.39 90.00
Closest atoms and distances in Å follow each position.
Positions (direct):
Zn: 0.0793 0.2500 0.6107  4 Te 2.66-2.78
Zn: 0.9207 0.7500 0.3893  4 Te 2.66-2.78
Tb: 0.3086 0.7500 0.8565  6 Te 3.07-3.21
Tb: 0.6914 0.2500 0.1435  6 Te 3.07-3.21
In: 0.7361 0.7500 0.7082  6 Te 3.36-3.73
In: 0.2639 0.2500 0.2918  6 Te 3.36-3.73
Te: 0.2328 0.7500 0.5550  3 Zn 2.73-2.78
Te: 0.9473 0.7500 0.1577  1 Zn 2.66
Te: 0.0527 0.2500 0.8423  1 Zn 2.66
Te: 0.4405 0.7500 0.1466  3 Tb 3.07-3.10, 2 In 3.36
Te: 0.5595 0.2500 0.8534  3 Tb 3.07-3.10, 2 In 3.36
Te: 0.7672 0.2500 0.4450  3 Zn 2.73-2.78

***

Run two
DFT (PBE) results for a relaxed structure of TbZnInTe3.

## Properties
Calculated density: 6034 kg/m³
Calculated volume: 794.7 Å³/cell

Lattice parameters (Å, degrees): 15.5460 4.3589 11.7281 90.00 90.00 90.00
Closest atoms and distances in Å follow each position.
Positions (direct):
Te: 0.8956 0.7500 0.9207  3 Tb 3.06-3.10, 2 In 3.30
Te: 0.1488 0.7500 0.7497  1 Zn 2.69
Te: 0.5882 0.7500 0.1139  3 Zn 2.73-2.75
Te: 0.8512 0.2500 0.2503  1 Zn 2.69
Te: 0.3512 0.2500 0.2497  1 Zn 2.69
Te: 0.4118 0.2500 0.8861  3 Zn 2.73-2.75
Te: 0.6044 0.2500 0.4207  3 Tb 3.06-3.10, 2 In 3.30
Te: 0.1044 0.2500 0.0793  3 Tb 3.06-3.10, 2 In 3.30
Te: 0.9118 0.2500 0.6139  3 Zn 2.73-2.75
Te: 0.6488 0.7500 0.7503  1 Zn 2.69
Te: 0.0882 0.7500 0.3861  3 Zn 2.73-2.75
Te: 0.3956 0.7500 0.5793  3 Tb 3.06-3.10, 2 In 3.30
In: 0.7396 0.2500 0.9626  6 Te 3.30-3.67
In: 0.2396 0.2500 0.5374  6 Te 3.30-3.67
In: 0.7604 0.7500 0.4626  6 Te 3.30-3.67
In: 0.2604 0.7500 0.0374  6 Te 3.30-3.67
Zn: 0.9827 0.2500 0.3988  4 Te 2.69-2.75
Zn: 0.0173 0.7500 0.6012  4 Te 2.69-2.75
Zn: 0.4827 0.2500 0.1012  4 Te 2.69-2.75
Zn: 0.5173 0.7500 0.8988  4 Te 2.69-2.75
Tb: 0.5245 0.2500 0.6593  6 Te 3.06-3.19
Tb: 0.0245 0.2500 0.8407  6 Te 3.06-3.19
Tb: 0.4755 0.7500 0.3407  6 Te 3.06-3.19
Tb: 0.9755 0.7500 0.1593  6 Te 3.06-3.19

***

Run three
DFT (PBE) results for a relaxed structure of TbZnInTe3.

## Properties
Calculated density: 6542 kg/m³
Calculated volume: 733.0 Å³/cell

Lattice parameters (Å, degrees): 8.9990 4.6121 17.6600 90.00 90.00 90.00
Closest atoms and distances in Å follow each position.
Positions (direct):
Tb: 0.7458 0.2500 0.4556  7 Te 3.00-3.34
Tb: 0.2542 0.7500 0.5444  7 Te 3.00-3.34
Tb: 0.2458 0.2500 0.0444  7 Te 3.00-3.34
Tb: 0.7542 0.7500 0.9556  7 Te 3.00-3.34
Te: 0.1234 0.7500 0.9453  1 Zn 2.68
Te: 0.5012 0.2500 0.9108  2 Zn 2.77
Te: 0.0012 0.2500 0.5892  2 Zn 2.77
Te: 0.3766 0.2500 0.4453  1 Zn 2.68
Te: 0.9988 0.7500 0.4108  2 Zn 2.77
Te: 0.8054 0.7500 0.7878  1 Zn 2.63
Te: 0.1946 0.2500 0.2122  1 Zn 2.63
Te: 0.4988 0.7500 0.0892  2 Zn 2.77
Te: 0.6946 0.2500 0.2878  1 Zn 2.63
Te: 0.8766 0.2500 0.0547  1 Zn 2.68
Te: 0.3054 0.7500 0.7122  1 Zn 2.63
Te: 0.6234 0.7500 0.5547  1 Zn 2.68
In: 0.9279 0.7500 0.2170  7 Te 3.33-3.71
In: 0.4279 0.7500 0.2830  7 Te 3.33-3.71
In: 0.0721 0.2500 0.7830  7 Te 3.33-3.71
In: 0.5721 0.2500 0.7170  7 Te 3.33-3.71
Zn: 0.3662 0.7500 0.8576  4 Te 2.63-2.77
Zn: 0.8662 0.7500 0.6424  4 Te 2.63-2.77
Zn: 0.1338 0.2500 0.3576  4 Te 2.63-2.77
Zn: 0.6338 0.2500 0.1424  4 Te 2.63-2.77

***

Run four
DFT (PBE) results for a relaxed structure of TbZnInTe3.

## Properties
Calculated density: 6259 kg/m³
Calculated volume: 383.1 Å³/cell

Lattice parameters (Å, degrees): 10.0237 10.0237 9.2218 102.50 102.50 25.09
Closest atoms and distances in Å follow each position.
Positions (direct):
Te: 0.6770 0.6770 0.8195  1 Zn 2.70
Te: 0.3230 0.3230 0.1805  1 Zn 2.70
Te: 0.6690 0.6690 0.3493  3 Tb 3.04, 2 In 3.32
Te: 0.3310 0.3310 0.6507  3 Tb 3.04, 2 In 3.32
Te: 0.0000 0.0000 0.5000  4 Zn 2.97, 2 Tb 3.27
Te: 0.5000 0.5000 0.0000  2 Zn 2.81
Tb: 0.1715 0.1715 0.5811  6 Te 3.04-3.27
Tb: 0.8285 0.8285 0.4189  6 Te 3.04-3.27
Zn: 0.5365 0.5365 0.7223  4 Te 2.70-2.97
Zn: 0.4635 0.4635 0.2777  4 Te 2.70-2.97
In: 0.1312 0.1312 0.0713  7 Te 3.32-3.66
In: 0.8688 0.8688 0.9287  7 Te 3.32-3.66

***

It turns out run two is the most stable, with the second structure 0.7 kJ/mol of atoms higher.